Entry 1:
A plane-wave DFT calculation with PBE was carried out for a geometry-optimized Li2CeCl4 structure.

Values from the calculation:
Its energy relative to the elements, uncorrected is -1.820 eV per atom. The total moment is 0.2847 μB/atom. The value obtained for the density of states at the Fermi level is 14.68 states/eV/cell.

Lattice parameters (Å, degrees): 7.3601 7.9208 7.9208 60.93 62.32 62.32
Fractional positions:
Li  0.1237  0.1263  0.6263
Li  0.5000  0.0000  0.0000
Li  0.5000  0.5000  0.5000
Li  0.8763  0.8737  0.3737
Ce  0.0000  0.5000  0.0000
Ce  0.5000  0.5000  0.0000
Cl  0.2675  0.2073  0.2577
Cl  0.2675  0.7577  0.7073
Cl  0.2605  0.2520  0.7520
Cl  0.7355  0.2520  0.7520
Cl  0.2645  0.7480  0.2480
Cl  0.7325  0.2423  0.2927
Cl  0.7395  0.7480  0.2480
Cl  0.7325  0.7927  0.7423

=====

Entry 2:
A plane-wave DFT calculation with PBE was carried out for a geometry-optimized BeIr3 structure.

Values from the calculation:
Its energy of formation from the pure elements is -0.0767 eV/atom. The total moment is 0.0000 μB/atom. The value obtained for the density of states at the Fermi level is 4.84 states/eV/cell.

Lattice parameters (Å, degrees): 8.3829 8.3829 8.3829 18.74 18.74 18.74
Fractional positions:
Be  0.0000  0.0000  0.0000
Ir  0.7426  0.7426  0.7426
Ir  0.5000  0.5000  0.5000
Ir  0.2574  0.2574  0.2574

=====

Entry 3:
A plane-wave DFT calculation with PBE was carried out for a geometry-optimized TaMnSi2 structure.

Values from the calculation:
Its energy relative to the elements, uncorrected is -0.354 eV per atom. The total moment is 0.0000 μB/atom. The value obtained for the density of states at the Fermi level is 0.38 states/eV/cell.

Lattice parameters (Å, degrees): 3.0439 3.0439 5.7712 90.00 90.00 90.00
Fractional positions:
Mn  0.5000  0.5000  0.8023
Si  0.0000  0.0000  0.9807
Si  0.5000  0.5000  0.2235
Ta  0.0000  0.0000  0.4935

=====

Entry 4:
A plane-wave DFT calculation with PBE was carried out for a geometry-optimized Sm2Zn2Pb structure.

Values from the calculation:
Its energy of formation from the pure elements is -0.3359 eV/atom. The total moment is 0.0007 μB/atom. The value obtained for the density of states at the Fermi level is 5.46 states/eV/cell.

Lattice parameters (Å, degrees): 4.3751 5.9722 5.9722 61.42 68.51 68.51
Fractional positions:
Sm  0.7834  0.7166  0.7166
Sm  0.2166  0.2834  0.2834
Zn  0.5000  0.2989  0.7011
Zn  0.5000  0.7011  0.2989
Pb  0.0000  0.0000  0.0000

=====

Entry 5:
A plane-wave DFT calculation with PBE was carried out for a geometry-optimized NbAg2Ru structure.

Values from the calculation:
Its energy of formation from the pure elements is 0.8540 eV/atom. The total moment is 0.1027 μB/atom. The value obtained for the density of states at the Fermi level is 9.88 states/eV/cell.

Lattice parameters (Å, degrees): 7.5518 7.5518 5.9303 50.45 50.45 90.00
Fractional positions:
Ru  0.0000  0.0000  0.0000
Ru  0.7500  0.2500  0.5000
Nb  0.5000  0.5000  0.0000
Nb  0.2500  0.7500  0.5000
Ag  0.6361  0.1250  0.2500
Ag  0.1139  0.6250  0.2500
Ag  0.3750  0.3639  0.7500
Ag  0.8750  0.8861  0.7500

=====

Entry 6:
A plane-wave DFT calculation with PBE was carried out for a geometry-optimized ZnIn2Si structure.

Values from the calculation:
Its energy relative to the elements, uncorrected is 0.298 eV per atom. The total moment is 0.0000 μB/atom. The value obtained for the density of states at the Fermi level is 1.19 states/eV/cell.

Lattice parameters (Å, degrees): 5.7701 5.7701 5.7701 137.94 137.94 60.99
Fractional positions:
In  0.0000  0.0000  0.0000
In  0.2500  0.7500  0.5000
Si  0.5000  0.5000  0.0000
Zn  0.7500  0.2500  0.5000

=====

Entry 7:
A plane-wave DFT calculation with PBE was carried out for a geometry-optimized LaSnPd2 structure.

Values from the calculation:
Its energy of formation from the pure elements is -0.8652 eV/atom. The total moment is 0.0000 μB/atom. The value obtained for the density of states at the Fermi level is 6.33 states/eV/cell.

Lattice parameters (Å, degrees): 6.3901 7.1882 7.8406 90.00 90.00 90.00
Fractional positions:
La  0.3267  0.2500  0.0329
La  0.8267  0.7500  0.4671
La  0.6733  0.7500  0.9671
La  0.1733  0.2500  0.5329
Sn  0.6720  0.2500  0.3806
Sn  0.1720  0.7500  0.1194
Sn  0.3280  0.7500  0.6194
Sn  0.8280  0.2500  0.8806
Pd  0.9298  0.0507  0.1798
Pd  0.4298  0.9493  0.3202
Pd  0.0702  0.5507  0.8202
Pd  0.5702  0.4493  0.6798
Pd  0.0702  0.9493  0.8202
Pd  0.5702  0.0507  0.6798
Pd  0.9298  0.4493  0.1798
Pd  0.4298  0.5507  0.3202

=====

Entry 8:
A plane-wave DFT calculation with PBE was carried out for a geometry-optimized ZnCr2Cl structure.

Values from the calculation:
Its energy relative to the elements, uncorrected is 0.353 eV per atom. The total moment is 2.1025 μB/atom. The value obtained for the density of states at the Fermi level is 2.55 states/eV/cell.

Lattice parameters (Å, degrees): 3.1163 3.1163 7.0791 90.00 90.00 90.00
Fractional positions:
Cr  0.0000  0.0000  0.0211
Cr  0.0000  0.0000  0.4789
Zn  0.5000  0.5000  0.2500
Cl  0.5000  0.5000  0.7500